This record from Alexandria describes Pu3Tl3VSe8 after structural relaxation. The functional is PBE.

```
15
Lattice="8.124 0.000 0.000 -4.062 7.039 -0.026 -0.001 -4.663 7.877" Properties=species:S:1:pos:R:3 pbc="T T T"
Tl 0.000 0.000 0.000
Se 4.062 2.529 2.413
V 0.000 -2.331 3.938
Se 0.000 2.355 2.290
Se -2.182 3.627 5.422
Se 0.000 -0.152 5.437
Tl 2.031 3.520 -0.013
Se 6.244 -1.251 2.428
Pu 2.031 1.188 3.925
Se 2.182 3.627 5.422
Se 4.062 0.021 5.560
Pu -2.031 1.188 3.925
Pu 4.062 -2.331 3.938
Se 1.880 -1.251 2.428
Tl -2.031 3.519 -0.013
```

Values from the calculation:
E_form (uncorrected) ... -998 meV per atom
Total magnetic moment ... 16.00 μB/f.u.

=====

This record from Alexandria describes Nd3CuIr after structural relaxation. The functional is PBE.

```
20
Lattice="-0.880 3.353 5.867 -7.574 -6.720 2.704 7.385 -2.337 2.443" Properties=species:S:1:pos:R:3 pbc="T T T"
Nd 0.594 -0.307 4.218
Nd 1.064 -6.686 3.990
Nd -5.482 -4.046 5.456
Nd 1.684 -0.363 8.372
Ir -0.444 -8.066 6.864
Nd 4.413 -1.658 5.558
Ir -4.489 -0.707 6.009
Nd -2.133 0.983 7.024
Cu -4.158 -6.825 5.775
Nd -1.664 -5.396 6.797
Cu -0.255 -3.906 3.653
Ir -0.626 2.363 4.150
Nd 1.794 -0.634 0.632
Ir 3.420 -4.996 5.005
Nd 1.364 -3.385 6.098
Nd -2.863 -5.069 10.382
Nd -2.754 -5.340 2.643
Nd -2.433 -2.318 4.917
Cu 3.089 1.122 5.239
Cu -0.814 -1.798 7.361
```

Values from the calculation:
Energy of formation ... -7.63 kcal/mol of atoms
Total magnetic moment ... 0.00 μB/f.u.

=====

This record from Alexandria describes LiDySbRu after structural relaxation. The functional is PBE.

```
4
Lattice="-1.420 -4.406 -0.815 2.109 -3.590 2.180 -2.284 -2.389 3.342" Properties=species:S:1:pos:R:3 pbc="T T T"
Ru -0.797 -5.192 2.354
Dy -0.398 -2.596 1.177
Sb -1.195 -7.789 3.531
Li 0.000 0.000 0.000
```

Values from the calculation:
E_form (uncorrected) ... -516 meV per atom
Total magnetic moment ... 0.00 μB/f.u.

=====

This record from Alexandria describes ZnBI2 after structural relaxation. The functional is PBE.

```
4
Lattice="0.000 3.681 3.681 3.681 0.000 3.681 3.681 3.681 0.000" Properties=species:S:1:pos:R:3 pbc="T T T"
I 1.841 1.841 1.841
I 5.522 5.522 5.522
B 0.000 0.000 0.000
Zn 3.681 3.681 3.681
```

Values from the calculation:
Energy above the lowest structure with this stoichiometry ... 413 meV per atom
E_form (uncorrected) ... 1126 meV per atom
Total magnetic moment ... 0.00 μB/f.u.

=====

This record from Alexandria describes CoB3Au after structural relaxation. The functional is PBE.

```
5
Lattice="-2.401 0.095 -2.979 -0.324 -3.811 0.140 -2.963 0.340 2.398" Properties=species:S:1:pos:R:3 pbc="T T T"
B -0.162 -1.905 0.070
Co 0.000 0.000 0.000
Au -2.844 -1.688 -0.220
B -1.481 0.170 1.199
B -1.200 0.047 -1.489
```

Values from the calculation:
Energy above the lowest structure with this stoichiometry ... 0 meV per atom
Energy of formation ... 22.20 kcal/mol of atoms
Total magnetic moment ... 0.00 μB/f.u.

=====

This record from Alexandria describes Tb2AlGa2 after structural relaxation. The functional is PBE.

```
5
Lattice="4.129 0.000 0.000 2.064 5.419 0.215 2.064 1.996 5.043" Properties=species:S:1:pos:R:3 pbc="T T T"
Tb 2.064 2.138 1.516
Ga 4.129 4.469 1.556
Ga 4.129 2.947 3.703
Tb 6.193 5.278 3.743
Al 0.000 0.000 0.000
```

Values from the calculation:
Energy above the lowest structure with this stoichiometry ... 41 meV per atom
Energy of formation ... -13.07 kcal/mol of atoms
Total magnetic moment ... 0.00 μB/f.u.

=====

This record from Alexandria describes Y3InN after structural relaxation. The functional is PBE.

```
10
Lattice="4.483 -2.588 0.000 0.000 5.176 0.000 0.000 0.000 9.696" Properties=species:S:1:pos:R:3 pbc="T T T"
In 1.494 2.588 7.272
In 2.989 0.000 2.424
Y 2.989 0.000 9.012
Y 1.494 2.588 0.684
N 0.000 0.000 0.000
Y 0.000 0.000 7.272
Y 2.989 0.000 5.532
N 0.000 0.000 4.848
Y 1.494 2.588 4.164
Y 0.000 0.000 2.424
```

Values from the calculation:
E_form (uncorrected) ... -319 meV per atom
Total magnetic moment ... 1.00 μB/f.u.

=====

This record from Alexandria describes SiB3Cl after structural relaxation. The functional is PBE.

```
5
Lattice="4.137 0.000 0.000 0.000 4.137 0.000 0.000 0.000 4.137" Properties=species:S:1:pos:R:3 pbc="T T T"
B 0.000 0.000 2.069
B 0.000 2.069 0.000
Si 0.000 0.000 0.000
Cl 2.069 2.069 2.069
B 2.069 0.000 0.000
```

Values from the calculation:
Energy above the lowest structure with this stoichiometry ... 0 meV per atom
E_form (uncorrected) ... 1559 meV per atom
Total magnetic moment ... 0.00 μB/f.u.

=====

This record from Alexandria describes Sc3Ta after structural relaxation. The functional is PBE.

```
16
Lattice="-2.045 -6.757 3.529 6.592 -3.997 -3.834 3.228 1.245 4.254" Properties=species:S:1:pos:R:3 pbc="T T T"
Sc 8.442 -4.810 1.422
Sc -0.667 -4.700 2.527
Sc 5.257 -5.729 0.510
Sc 3.936 -7.091 3.267
Sc 1.793 -6.192 1.097
Ta 1.161 -3.391 0.699
Ta 6.559 -3.155 0.067
Sc 4.507 -0.030 2.946
Sc 1.380 -0.927 2.112
Sc 2.519 -3.780 3.439
Sc 3.269 -9.480 1.003
Sc 3.840 -2.418 0.682
Sc 5.983 -3.318 2.853
Sc 6.396 -8.583 1.837
Ta 6.614 -6.118 3.250
Ta 1.216 -6.354 3.882
```

Values from the calculation:
Energy above the lowest structure with this stoichiometry ... 131 meV per atom
Energy of formation ... 5.60 kcal/mol of atoms
Total magnetic moment ... 0.00 μB/f.u.

=====

This record from Alexandria describes Pu8Mn5Ge after structural relaxation. The functional is PBE.

```
14
Lattice="-4.197 5.571 1.847 -0.449 -5.116 5.068 6.847 2.200 -0.577" Properties=species:S:1:pos:R:3 pbc="T T T"
Pu 0.923 6.599 1.855
Mn 0.666 -1.595 1.989
Mn 1.325 3.885 0.635
Mn 0.913 2.425 4.050
Pu 2.656 -2.034 3.736
Pu 3.197 3.439 2.630
Ge 3.862 0.484 2.563
Pu -0.686 0.122 3.856
Pu -0.764 3.782 2.454
Pu 1.224 1.005 1.479
Mn 5.054 3.645 0.704
Pu 2.935 0.913 5.276
Mn -2.230 0.835 5.932
Pu -0.679 -3.208 4.065
```

Values from the calculation:
Energy of formation ... 2.48 kcal/mol of atoms
Total magnetic moment ... 31.39 μB/f.u.

=====

This record from Alexandria describes AlNiSbTe2 after structural relaxation. The functional is PBE.

```
5
Lattice="5.270 0.000 0.000 0.000 5.270 0.000 0.000 0.000 4.770" Properties=species:S:1:pos:R:3 pbc="T T T"
Ni 0.000 0.000 0.000
Sb 0.000 0.000 2.385
Al 2.635 2.635 2.385
Te 0.000 2.635 0.000
Te 2.635 0.000 0.000
```

Values from the calculation:
Energy above the lowest structure with this stoichiometry ... 0 meV per atom
E_form (uncorrected) ... 361 meV per atom
Total magnetic moment ... 0.00 μB/f.u.

=====

This record from Alexandria describes Y3B2PdPt9 after structural relaxation. The functional is PBE.

```
15
Lattice="-4.102 -0.001 -3.953 -0.431 -3.398 4.552 -4.549 6.898 4.718" Properties=species:S:1:pos:R:3 pbc="T T T"
Pt -2.266 -1.699 0.299
B -2.322 -1.253 2.409
Y -4.694 1.621 0.766
B -6.759 4.752 2.907
Pt -2.074 0.803 2.152
Y -4.387 1.878 4.551
Pt -2.051 0.000 -1.977
Pt -7.007 2.696 3.165
Pd -2.275 3.449 2.359
Pt -0.215 -1.699 2.276
Pt -4.383 -0.928 2.457
Pt -4.698 4.427 2.860
Y 0.000 0.000 0.000
Pt -2.294 -0.928 4.471
Pt -6.788 4.427 0.846
```

Values from the calculation:
Energy of formation ... -18.00 kcal/mol of atoms
Total magnetic moment ... 0.00 μB/f.u.